No. 1
DFT (PBE) results for a geometry-optimized LaDy3Sb3 structure.

Output
Polymorph energy (0 for the lowest one) in eV per atom: 0.108
ΔE_f (raw) in eV per atom: -0.9052
E in hartree per atom: -0.19654

a b c (Å): 9.2034 9.2034 18.4320
angles (deg): 90.00 90.00 120.00
Space group R-3 (No. 148, hexagonal axes)
Symmetry-distinct sites (fractional):
La1 0.0000 0.0000 0.1657
Dy1 0.0025 0.2693 0.5856
Sb1 0.0038 0.3767 0.4180

---

No. 2
DFT (PBE) results for a geometry-optimized Tc2IrOs structure.

Output
Polymorph energy (0 for the lowest one) in eV per atom: 0.122
Formation energy in eV/atom: -0.067
E in hartree per atom: -0.37750

a b c (Å): 5.4710 7.7432 2.7298
angles (deg): 90.00 90.00 90.00
Space group Cmmm (No. 65)
Symmetry-distinct sites (fractional):
Tc1 0.2500 0.2500 0.0000
Ir1 0.0000 0.0000 0.5000
Os1 0.0000 0.5000 0.5000

---

No. 3
DFT (PBE) results for a geometry-optimized TmZrTcIr structure.

Output
Formation energy in eV/atom: -0.582
E in hartree per atom: -0.31765

a b c (Å): 6.6575 6.6575 6.6575
angles (deg): 90.00 90.00 90.00
Space group F-43m (No. 216)
Symmetry-distinct sites (fractional):
Tm1 0.0000 0.0000 0.0000
Zr1 0.0000 0.0000 0.5000
Tc1 0.2500 0.2500 0.7500
Ir1 0.2500 0.2500 0.2500